DFT (PBE) results for crystalline SrCe2Er at its relaxed geometry.

Computed properties:
energy of formation from the pure elements: 324 meV per atom
SG: No. 166
VASP energy: -4.20 eV/atom
total moment: 1.88 μB/cell
D(E_F): 12.0 states/eV/cell

a = 3.5073 Å, b = 3.5073 Å, c = 12.9399 Å
α = 82.21°, β = 82.21°, γ = 60.00°
Element x y z (fractional)
Ce 0.0914 0.0914 0.7259
Ce 0.9086 0.9086 0.2741
Sr 0.0000 0.0000 0.0000
Er 0.5000 0.5000 0.5000

DFT (PBE) results for crystalline Ce2ErTa at its relaxed geometry.

Computed properties:
energy of formation from the pure elements: 481 meV per atom
SG: No. 166
VASP energy: -6.59 eV/atom
total moment: 0.00 μB/cell
D(E_F): 9.3 states/eV/cell

a = 3.1208 Å, b = 3.1208 Å, c = 12.0288 Å
α = 82.55°, β = 82.55°, γ = 60.00°
Element x y z (fractional)
Ce 0.0796 0.0796 0.7611
Ta 0.0000 0.0000 0.0000
Er 0.5000 0.5000 0.5000
Ce 0.9204 0.9204 0.2389